i.
Material: AlIn2RhW
Method: DFT, PBE
State: optimized geometry

The structure in CIF format:
```
data_AlIn2RhW
_cell_length_a 5.1120
_cell_length_b 5.1120
_cell_length_c 4.9043
_cell_angle_alpha 90.00
_cell_angle_beta 90.00
_cell_angle_gamma 90.00
_space_group_name_H-M_alt 'P 4/m m m'
_space_group_IT_number 123
_space_group_name_Hall '-P 4 2'
loop_
_atom_site_label
_atom_site_fract_x
_atom_site_fract_y
_atom_site_fract_z
Al1 0.0000 0.0000 0.0000
In1 0.0000 0.5000 0.5000
Rh1 0.5000 0.5000 0.5000
W1 0.5000 0.5000 0.0000
```

Output
- DOS at the Fermi energy: 0.7896 states/eV/atom

=====

ii.
Material: AlIn2RhW
Method: DFT, PBE
State: optimized geometry

The structure in CIF format:
```
data_AlIn2RhW
_cell_length_a 5.1873
_cell_length_b 5.1873
_cell_length_c 4.8294
_cell_angle_alpha 90.00
_cell_angle_beta 90.00
_cell_angle_gamma 90.00
_space_group_name_H-M_alt 'P 4/m m m'
_space_group_IT_number 123
_space_group_name_Hall '-P 4 2'
loop_
_atom_site_label
_atom_site_fract_x
_atom_site_fract_y
_atom_site_fract_z
Al1 0.0000 0.0000 0.0000
In1 0.0000 0.5000 0.5000
Rh1 0.5000 0.5000 0.0000
W1 0.0000 0.0000 0.5000
```

Output
- DOS at the Fermi energy: 0.4864 states/eV/atom

=====

Name the least stable of them. ii.

=====

i.
Material: AlIn3S
Method: DFT, PBE
State: optimized geometry

The structure in CIF format:
```
data_AlIn3S
_cell_length_a 5.3476
_cell_length_b 5.3476
_cell_length_c 5.3476
_cell_angle_alpha 90.00
_cell_angle_beta 90.00
_cell_angle_gamma 90.00
_space_group_name_H-M_alt 'P m -3 m'
_space_group_IT_number 221
_space_group_name_Hall '-P 4 2 3'
loop_
_atom_site_label
_atom_site_fract_x
_atom_site_fract_y
_atom_site_fract_z
Al1 0.0000 0.0000 0.0000
In1 0.0000 0.5000 0.5000
S1 0.5000 0.5000 0.5000
```

Output
- DOS at the Fermi energy: 0.9210 states/eV/atom

=====

ii.
Material: AlIn3S
Method: DFT, PBE
State: optimized geometry

The structure in CIF format:
```
data_AlIn3S
_cell_length_a 5.2775
_cell_length_b 5.2775
_cell_length_c 5.2775
_cell_angle_alpha 90.00
_cell_angle_beta 90.00
_cell_angle_gamma 90.00
_space_group_name_H-M_alt 'P m -3 m'
_space_group_IT_number 221
_space_group_name_Hall '-P 4 2 3'
loop_
_atom_site_label
_atom_site_fract_x
_atom_site_fract_y
_atom_site_fract_z
Al1 0.0000 0.0000 0.0000
In1 0.0000 0.0000 0.5000
S1 0.5000 0.5000 0.5000
```

Output
- DOS at the Fermi energy: 0.2993 states/eV/atom

=====

Name the least stable of them. i.

=====

i.
Material: AlInSb2
Method: DFT, PBE
State: optimized geometry

The structure in CIF format:
```
data_AlInSb2
_cell_length_a 4.2990
_cell_length_b 4.2990
_cell_length_c 20.3473
_cell_angle_alpha 90.00
_cell_angle_beta 90.00
_cell_angle_gamma 120.00
_space_group_name_H-M_alt 'R 3 m'
_space_group_IT_number 160
_space_group_name_Hall 'R 3 -2"'
loop_
_atom_site_label
_atom_site_fract_x
_atom_site_fract_y
_atom_site_fract_z
Al1 0.0000 0.0000 0.0000
In1 0.0000 0.0000 0.1680
Sb1 0.0000 0.0000 0.4065
Sb2 0.0000 0.0000 0.5959
```

Output
- DOS at the Fermi energy: 0.4333 states/eV/atom

=====

ii.
Material: AlInSb2
Method: DFT, PBE
State: optimized geometry

The structure in CIF format:
```
data_AlInSb2
_cell_length_a 6.4266
_cell_length_b 6.4266
_cell_length_c 12.8129
_cell_angle_alpha 90.00
_cell_angle_beta 90.00
_cell_angle_gamma 90.00
_space_group_name_H-M_alt 'I -4 2 d'
_space_group_IT_number 122
_space_group_name_Hall 'I -4 2bw'
loop_
_atom_site_label
_atom_site_fract_x
_atom_site_fract_y
_atom_site_fract_z
Al1 0.0000 0.0000 0.0000
In1 0.0000 0.0000 0.5000
Sb1 0.2283 0.2500 0.1250
```

Output
- DOS at the Fermi energy: 0.0000 states/eV/atom

=====

Name the least stable of them. i.